Density functional theory data (GGA-PBE) for a relaxed structure of Nd3Tm3TlIn2.

a = 9.0777 Å, b = 9.0777 Å, c = 3.7539 Å
α = 90.00°, β = 90.00°, γ = 120.00°
Space group P-62m (No. 189)
Unique sites:
Nd1 0.0000 0.2902 0.0000 [3 per cell]
Tm1 0.0000 0.6176 0.5000 [3 per cell]
Tl1 0.0000 0.0000 0.5000 [1 per cell]
In1 0.3333 0.6667 0.0000 [2 per cell]

Energy: -37.87 eV for the cell shown
Crystal system: hexagonal
DOS(E_F): 9.0 states/eV per cell
ΔE_f: -256 meV/atom